Record 1
{
  "formula": "Tb3Ru5N12",
  "functional": "PBE",
  "state": "relaxed",
  "lattice": [[-6.5613, 3.2320, 8.1399], [7.8231, -6.5273, 3.9936], [4.5953, 8.7607, -4.6784]],
  "species": ["N", "N", "N", "N", "N", "N", "N", "N", "N", "N", "N", "N", "N", "N", "N", "N", "N", "N", "N", "N", "N", "N", "N", "N", "N", "N", "N", "N", "N", "N", "N", "N", "N", "N", "N", "N", "N", "N", "N", "N", "N", "N", "N", "N", "N", "N", "N", "N", "Ru", "Ru", "Ru", "Ru", "Ru", "Ru", "Ru", "Ru", "Ru", "Ru", "Ru", "Ru", "Ru", "Ru", "Ru", "Ru", "Ru", "Ru", "Ru", "Ru", "Tb", "Tb", "Tb", "Tb", "Tb", "Tb", "Tb", "Tb", "Tb", "Tb", "Tb", "Tb"],
  "frac_coords": [[0.0191, 0.4008, 0.8183], [0.9809, 0.5992, 0.1817], [0.1183, 0.4174, 0.0992], [0.0992, 0.1817, 0.4809], [0.6817, 0.4809, 0.5992], [0.4809, 0.6817, 0.0992], [0.5992, 0.9809, 0.6817], [0.1817, 0.0992, 0.9809], [0.9174, 0.8183, 0.7992], [0.8183, 0.9174, 0.2992], [0.7008, 0.1183, 0.0191], [0.0992, 0.9174, 0.1183], [0.2992, 0.8817, 0.9809], [0.4174, 0.2992, 0.3183], [0.4008, 0.0191, 0.3183], [0.9174, 0.0992, 0.6183], [0.7992, 0.4809, 0.3817], [0.9008, 0.0826, 0.8817], [0.5992, 0.6183, 0.4174], [0.3817, 0.4008, 0.0826], [0.2008, 0.6817, 0.0826], [0.6817, 0.2008, 0.5826], [0.1817, 0.0826, 0.7008], [0.6183, 0.0191, 0.2008], [0.8817, 0.5826, 0.9008], [0.8817, 0.2992, 0.4809], [0.7008, 0.5826, 0.1817], [0.9809, 0.3817, 0.2992], [0.4174, 0.1183, 0.5992], [0.4809, 0.7992, 0.8817], [0.5191, 0.2008, 0.1183], [0.3183, 0.5191, 0.4008], [0.0826, 0.9008, 0.3817], [0.5826, 0.8817, 0.4008], [0.0826, 0.1817, 0.2008], [0.3817, 0.9809, 0.7992], [0.4008, 0.3817, 0.5826], [0.5191, 0.3183, 0.9008], [0.2008, 0.5191, 0.6183], [0.1183, 0.7008, 0.5191], [0.8183, 0.9008, 0.0191], [0.3183, 0.7992, 0.4174], [0.7992, 0.3183, 0.9174], [0.5826, 0.7008, 0.6817], [0.6183, 0.5992, 0.9174], [0.0191, 0.6183, 0.7008], [0.9008, 0.8183, 0.5191], [0.2992, 0.4174, 0.8183], [0.1250, 0.7500, 0.3750], [0.6250, 0.8750, 0.2500], [0.0000, 0.5000, 0.0000], [0.0000, 0.0000, 0.5000], [0.5000, 0.5000, 0.0000], [0.3750, 0.1250, 0.7500], [0.0000, 0.0000, 0.0000], [0.8750, 0.6250, 0.7500], [0.3750, 0.2500, 0.1250], [0.7500, 0.6250, 0.3750], [0.2500, 0.8750, 0.1250], [0.5000, 0.5000, 0.5000], [0.6250, 0.7500, 0.8750], [0.2500, 0.3750, 0.6250], [0.5000, 0.0000, 0.5000], [0.7500, 0.1250, 0.8750], [0.1250, 0.3750, 0.2500], [0.0000, 0.5000, 0.5000], [0.5000, 0.0000, 0.0000], [0.8750, 0.2500, 0.6250], [0.1250, 0.2500, 0.8750], [0.6250, 0.2500, 0.3750], [0.3750, 0.6250, 0.2500], [0.8750, 0.7500, 0.1250], [0.2500, 0.6250, 0.8750], [0.2500, 0.1250, 0.3750], [0.6250, 0.3750, 0.7500], [0.7500, 0.8750, 0.6250], [0.7500, 0.3750, 0.1250], [0.8750, 0.1250, 0.2500], [0.3750, 0.7500, 0.6250], [0.1250, 0.8750, 0.7500]],
  "vol_a3_per_atom": 12.6,
  "sg": "Ia-3d (230)",
  "e_form_raw_mev_per_atom": -146,
  "energy_ev_per_fu": -163.09
}

Record 2
{
  "formula": "Ge2AsPb2",
  "functional": "PBE",
  "state": "relaxed",
  "lattice": [[-0.3493, -0.4356, 3.7338], [-1.3307, -3.4927, -0.5320], [7.4643, -5.1892, 2.0016]],
  "species": ["Pb", "Pb", "Ge", "Ge", "As"],
  "frac_coords": [[0.4030, 0.4030, 0.1940], [0.5970, 0.5970, 0.8060], [0.7500, 0.2500, 0.5000], [0.2500, 0.7500, 0.5000], [0.0000, 0.0000, 0.0000]],
  "vol_a3_per_atom": 25.4,
  "sg": "I4/mmm (139)",
  "polymorph_energy_ev_per_fu": 0.000,
  "delta_e_f_ev_per_atom": 0.182,
  "energy_ev_per_fu": -20.39
}

Record 3
{
  "formula": "YTlPd4",
  "functional": "PBE",
  "state": "relaxed",
  "lattice": [[4.9811, 0.0000, -0.5479], [0.0000, 8.9568, 0.0000], [-0.6054, 0.0000, 5.0040]],
  "species": ["Pd", "Pd", "Pd", "Pd", "Pd", "Pd", "Pd", "Pd", "Y", "Y", "Tl", "Tl"],
  "frac_coords": [[0.9999, 0.3331, 0.9999], [0.4999, 0.1669, 0.9999], [0.0008, 0.8301, 0.5003], [0.0001, 0.6669, 0.0001], [0.4992, 0.3301, 0.4997], [0.9992, 0.1699, 0.4997], [0.5001, 0.8331, 0.0001], [0.5008, 0.6699, 0.5003], [0.5000, 0.5000, 0.0000], [0.0000, 0.0000, 0.0000], [0.5000, 0.0000, 0.5000], [0.0000, 0.5000, 0.5000]],
  "vol_a3_per_atom": 18.4,
  "sg": "C2/m (12)",
  "polymorph_energy_ev_per_fu": 0.467,
  "delta_e_f_ev_per_atom": -0.501,
  "energy_ev_per_fu": -32.61
}

Record 4
{
  "formula": "Ce2ZnC2",
  "functional": "PBE",
  "state": "relaxed",
  "lattice": [[3.5984, 0.0000, -0.9445], [-0.2479, 3.5898, -0.9445], [-0.1352, -0.1449, 6.8120]],
  "species": ["C", "C", "Ce", "Ce", "Zn"],
  "frac_coords": [[0.8398, 0.8398, 0.6796], [0.1602, 0.1602, 0.3204], [0.3484, 0.3484, 0.6968], [0.6516, 0.6516, 0.3032], [0.0000, 0.0000, 0.0000]],
  "vol_a3_per_atom": 17.4,
  "sg": "I4/mmm (139)",
  "delta_e_f_ev_per_atom": -0.138,
  "energy_ev_per_fu": -32.28
}